A plane-wave DFT calculation with PBE+U was carried out for a relaxed structure of HgPdW2F.

Calculated values
total DFT energy (no corrections): -3.432 eV/atom
total magnetization: 1.61 μB/atom

a = 5.3592 Å, b = 5.3592 Å, c = 4.2111 Å
α = 90.00°, β = 90.00°, γ = 90.00°
Closest atoms and distances in Å follow each position.
Space group P4/mmm (No. 123)
Asymmetric unit:
Hg (0.0000, 0.0000, 0.0000) [1 per cell]  8 W 3.41, 4 F 3.79
Pd (0.5000, 0.5000, 0.5000) [1 per cell]  2 F 2.11
W (0.0000, 0.5000, 0.5000) [2 per cell]  2 Pd 2.68
F (0.5000, 0.5000, 0.0000) [1 per cell]  2 Pd 2.11